--- a ---
The following is a GGA-PBE calculation of a relaxed In2RuF2 crystal, from Alexandria.

## Properties
- spin magnetization (μB/f.u.) = 0.00
- symmetry = P4/mbm (127)

Structure (POSCAR):
```
In2RuF2
1.0
7.900 0.000 0.000
0.000 7.900 0.000
0.000 0.000 2.858
In Ru F
4 2 4
direct
0.238 0.262 0.000 In
0.262 0.762 0.000 In
0.738 0.238 0.000 In
0.762 0.738 0.000 In
0.000 0.000 0.000 Ru
0.500 0.500 0.000 Ru
0.112 0.612 0.500 F
0.388 0.112 0.500 F
0.612 0.888 0.500 F
0.888 0.388 0.500 F
```

--- b ---
The following is a GGA-PBE calculation of a relaxed In2RuF2 crystal, from Alexandria.

## Properties
- spin magnetization (μB/f.u.) = 0.00
- symmetry = I4/mmm (139)

Structure (POSCAR):
```
In2RuF2
1.0
3.387 0.000 0.000
0.000 3.387 0.000
0.000 0.000 12.975
In Ru F
4 2 4
direct
0.000 0.000 0.123 In
0.000 0.000 0.877 In
0.500 0.500 0.377 In
0.500 0.500 0.623 In
0.000 0.000 0.500 Ru
0.500 0.500 0.000 Ru
0.000 0.500 0.250 F
0.000 0.500 0.750 F
0.500 0.000 0.250 F
0.500 0.000 0.750 F
```

Stability check: which of them is most stable? b.

--- a ---
The following is a GGA-PBE calculation of a relaxed InRu3F crystal, from Alexandria.

## Properties
- spin magnetization (μB/f.u.) = 0.00
- symmetry = Pm-3m (221)

Structure (POSCAR):
```
InRu3F
1.0
4.248 0.000 0.000
0.000 4.248 0.000
0.000 0.000 4.248
In Ru F
1 3 1
direct
0.000 0.000 0.000 In
0.000 0.500 0.500 Ru
0.500 0.000 0.500 Ru
0.500 0.500 0.000 Ru
0.500 0.500 0.500 F
```

--- b ---
The following is a GGA-PBE calculation of a relaxed InRu3F crystal, from Alexandria.

## Properties
- spin magnetization (μB/f.u.) = 6.49
- symmetry = Pm-3m (221)

Structure (POSCAR):
```
InRu3F
1.0
5.007 0.000 0.000
0.000 5.007 0.000
0.000 0.000 5.007
In Ru F
1 3 1
direct
0.000 0.000 0.000 In
0.000 0.000 0.500 Ru
0.000 0.500 0.000 Ru
0.500 0.000 0.000 Ru
0.500 0.500 0.500 F
```

Stability check: which of them is most stable? a.

--- a ---
The following is a GGA-PBE calculation of a relaxed InS2F crystal, from Alexandria.

## Properties
- spin magnetization (μB/f.u.) = 0.00
- symmetry = R-3m (166)

Structure (POSCAR):
```
InS2F
1.0
2.894 0.000 0.000
-1.447 2.506 0.000
0.000 0.000 27.198
In S F
3 6 3
direct
0.000 0.000 0.000 In
0.333 0.667 0.667 In
0.667 0.333 0.333 In
0.000 0.000 0.096 S
0.000 0.000 0.904 S
0.333 0.667 0.571 S
0.333 0.667 0.763 S
0.667 0.333 0.237 S
0.667 0.333 0.429 S
0.000 0.000 0.500 F
0.333 0.667 0.167 F
0.667 0.333 0.833 F
```

--- b ---
The following is a GGA-PBE calculation of a relaxed InS2F crystal, from Alexandria.

## Properties
- spin magnetization (μB/f.u.) = 0.00
- symmetry = Fm-3m (225)

Structure (POSCAR):
```
InS2F
1.0
6.373 0.000 0.000
0.000 6.373 0.000
0.000 0.000 6.373
In S F
4 8 4
direct
0.000 0.000 0.000 In
0.000 0.500 0.500 In
0.500 0.000 0.500 In
0.500 0.500 0.000 In
0.250 0.250 0.250 S
0.250 0.250 0.750 S
0.250 0.750 0.250 S
0.250 0.750 0.750 S
0.750 0.250 0.250 S
0.750 0.250 0.750 S
0.750 0.750 0.250 S
0.750 0.750 0.750 S
0.000 0.000 0.500 F
0.000 0.500 0.000 F
0.500 0.000 0.000 F
0.500 0.500 0.500 F
```

Stability check: which of them is most stable? b.

--- a ---
The following is a GGA-PBE calculation of a relaxed InS2F crystal, from Alexandria.

## Properties
- spin magnetization (μB/f.u.) = 2.00
- symmetry = I-42d (122)

Structure (POSCAR):
```
InS2F
1.0
5.773 0.000 0.000
0.000 5.773 0.000
0.000 0.000 11.810
In S F
4 8 4
direct
0.000 0.000 0.000 In
0.000 0.500 0.250 In
0.500 0.000 0.750 In
0.500 0.500 0.500 In
0.249 0.250 0.625 S
0.250 0.749 0.875 S
0.250 0.751 0.375 S
0.251 0.250 0.125 S
0.749 0.750 0.125 S
0.750 0.249 0.375 S
0.750 0.251 0.875 S
0.751 0.750 0.625 S
0.000 0.000 0.500 F
0.000 0.500 0.750 F
0.500 0.000 0.250 F
0.500 0.500 0.000 F
```

--- b ---
The following is a GGA-PBE calculation of a relaxed InS2F crystal, from Alexandria.

## Properties
- spin magnetization (μB/f.u.) = 0.00
- symmetry = R-3m (166)

Structure (POSCAR):
```
InS2F
1.0
3.886 0.000 0.000
-1.943 3.365 0.000
0.000 0.000 20.353
In S F
3 6 3
direct
0.000 0.000 0.000 In
0.333 0.667 0.667 In
0.667 0.333 0.333 In
0.000 0.000 0.400 S
0.000 0.000 0.600 S
0.333 0.667 0.067 S
0.333 0.667 0.266 S
0.667 0.333 0.734 S
0.667 0.333 0.933 S
0.000 0.000 0.500 F
0.333 0.667 0.167 F
0.667 0.333 0.833 F
```

Stability check: which of them is most stable? b.

--- a ---
The following is a GGA-PBE calculation of a relaxed InS3F crystal, from Alexandria.

## Properties
- spin magnetization (μB/f.u.) = 4.01
- symmetry = Pm-3m (221)

Structure (POSCAR):
```
InS3F
1.0
5.128 0.000 0.000
0.000 5.128 0.000
0.000 0.000 5.128
In S F
1 3 1
direct
0.000 0.000 0.000 In
0.000 0.000 0.500 S
0.000 0.500 0.000 S
0.500 0.000 0.000 S
0.500 0.500 0.500 F
```

--- b ---
The following is a GGA-PBE calculation of a relaxed InS3F crystal, from Alexandria.

## Properties
- spin magnetization (μB/f.u.) = 0.00
- symmetry = Pm-3m (221)

Structure (POSCAR):
```
InS3F
1.0
4.485 0.000 0.000
0.000 4.485 0.000
0.000 0.000 4.485
In S F
1 3 1
direct
0.000 0.000 0.000 In
0.000 0.500 0.500 S
0.500 0.000 0.500 S
0.500 0.500 0.000 S
0.500 0.500 0.500 F
```

Stability check: which of them is most stable? b.

--- a ---
The following is a GGA-PBE calculation of a relaxed TlInSF2 crystal, from Alexandria.

## Properties
- spin magnetization (μB/f.u.) = 0.00
- symmetry = Cmcm (63)

Structure (POSCAR):
```
TlInSF2
1.0
1.862 -7.328 0.000
1.862 7.328 0.000
0.000 0.000 7.526
Tl In S F
2 2 2 4
direct
0.236 0.764 0.750 Tl
0.764 0.236 0.250 Tl
0.500 0.500 0.000 In
0.500 0.500 0.500 In
0.033 0.967 0.250 S
0.967 0.033 0.750 S
0.359 0.641 0.046 F
0.359 0.641 0.454 F
0.641 0.359 0.546 F
0.641 0.359 0.954 F
```

--- b ---
The following is a GGA-PBE calculation of a relaxed TlInSF2 crystal, from Alexandria.

## Properties
- spin magnetization (μB/f.u.) = 0.00
- symmetry = P4/mmm (123)

Structure (POSCAR):
```
TlInSF2
1.0
4.382 0.000 0.000
0.000 4.382 0.000
0.000 0.000 4.941
Tl In S F
1 1 1 2
direct
0.000 0.000 0.000 Tl
0.500 0.500 0.500 In
0.500 0.500 0.000 S
0.000 0.500 0.500 F
0.500 0.000 0.500 F
```

Stability check: which of them is most stable? a.

--- a ---
The following is a GGA-PBE calculation of a relaxed In3SbF crystal, from Alexandria.

## Properties
- spin magnetization (μB/f.u.) = 0.00
- symmetry = Pm-3m (221)

Structure (POSCAR):
```
In3SbF
1.0
5.082 0.000 0.000
0.000 5.082 0.000
0.000 0.000 5.082
In Sb F
3 1 1
direct
0.000 0.000 0.500 In
0.000 0.500 0.000 In
0.500 0.000 0.000 In
0.500 0.500 0.500 Sb
0.000 0.000 0.000 F
```

--- b ---
The following is a GGA-PBE calculation of a relaxed In3SbF crystal, from Alexandria.

## Properties
- spin magnetization (μB/f.u.) = 0.00
- symmetry = Pm-3m (221)

Structure (POSCAR):
```
In3SbF
1.0
5.848 0.000 0.000
0.000 5.848 0.000
0.000 0.000 5.848
In Sb F
3 1 1
direct
0.000 0.000 0.500 In
0.000 0.500 0.000 In
0.500 0.000 0.000 In
0.000 0.000 0.000 Sb
0.500 0.500 0.500 F
```

Stability check: which of them is most stable? a.

--- a ---
The following is a GGA-PBE calculation of a relaxed InSbF4 crystal, from Alexandria.

## Properties
- spin magnetization (μB/f.u.) = 0.00
- symmetry = Pmn2_1 (31)

Structure (POSCAR):
```
InSbF4
1.0
6.079 0.000 0.000
0.000 7.346 0.000
0.000 0.000 5.457
In Sb F
2 2 8
direct
0.000 0.060 0.000 In
0.500 0.940 0.500 In
0.000 0.596 0.469 Sb
0.500 0.404 0.969 Sb
0.000 0.386 0.217 F
0.000 0.874 0.590 F
0.233 0.694 0.249 F
0.267 0.306 0.749 F
0.500 0.126 0.090 F
0.500 0.614 0.717 F
0.733 0.306 0.749 F
0.767 0.694 0.249 F
```

--- b ---
The following is a GGA-PBE calculation of a relaxed InSbF4 crystal, from Alexandria.

## Properties
- spin magnetization (μB/f.u.) = 0.00
- symmetry = Pnma (62)

Structure (POSCAR):
```
InSbF4
1.0
10.714 0.000 0.000
0.000 6.201 0.000
0.000 0.000 7.494
In Sb F
4 4 16
direct
0.247 0.250 0.211 In
0.253 0.750 0.711 In
0.747 0.250 0.289 In
0.753 0.750 0.789 In
0.013 0.250 0.744 Sb
0.487 0.750 0.244 Sb
0.513 0.250 0.756 Sb
0.987 0.750 0.256 Sb
0.070 0.750 0.516 F
0.107 0.003 0.866 F
0.107 0.497 0.866 F
0.163 0.250 0.594 F
0.337 0.750 0.094 F
0.393 0.503 0.366 F
0.393 0.997 0.366 F
0.430 0.250 0.016 F
0.570 0.750 0.984 F
0.607 0.003 0.634 F
0.607 0.497 0.634 F
0.663 0.250 0.906 F
0.837 0.750 0.406 F
0.893 0.503 0.134 F
0.893 0.997 0.134 F
0.930 0.250 0.484 F
```

Stability check: which of them is most stable? a.

--- a ---
The following is a GGA-PBE calculation of a relaxed ScInF3 crystal, from Alexandria.

## Properties
- spin magnetization (μB/f.u.) = 1.45
- symmetry = Pm-3m (221)

Structure (POSCAR):
```
ScInF3
1.0
4.528 0.000 0.000
0.000 4.528 0.000
0.000 0.000 4.528
Sc In F
1 1 3
direct
0.000 0.000 0.000 Sc
0.500 0.500 0.500 In
0.000 0.500 0.500 F
0.500 0.000 0.500 F
0.500 0.500 0.000 F
```

--- b ---
The following is a GGA-PBE calculation of a relaxed ScInF3 crystal, from Alexandria.

## Properties
- spin magnetization (μB/f.u.) = 0.62
- symmetry = Pm-3m (221)

Structure (POSCAR):
```
ScInF3
1.0
4.324 0.000 0.000
0.000 4.324 0.000
0.000 0.000 4.324
Sc In F
1 1 3
direct
0.000 0.000 0.000 Sc
0.500 0.500 0.500 In
0.000 0.000 0.500 F
0.000 0.500 0.000 F
0.500 0.000 0.000 F
```

Stability check: which of them is most stable? b.

--- a ---
The following is a GGA-PBE calculation of a relaxed InSeF2 crystal, from Alexandria.

## Properties
- spin magnetization (μB/f.u.) = 1.50
- symmetry = Fm-3m (225)

Structure (POSCAR):
```
InSeF2
1.0
6.348 0.000 0.000
0.000 6.348 0.000
0.000 0.000 6.348
In Se F
4 4 8
direct
0.000 0.000 0.000 In
0.000 0.500 0.500 In
0.500 0.000 0.500 In
0.500 0.500 0.000 In
0.000 0.000 0.500 Se
0.000 0.500 0.000 Se
0.500 0.000 0.000 Se
0.500 0.500 0.500 Se
0.250 0.250 0.250 F
0.250 0.250 0.750 F
0.250 0.750 0.250 F
0.250 0.750 0.750 F
0.750 0.250 0.250 F
0.750 0.250 0.750 F
0.750 0.750 0.250 F
0.750 0.750 0.750 F
```

--- b ---
The following is a GGA-PBE calculation of a relaxed InSeF2 crystal, from Alexandria.

## Properties
- spin magnetization (μB/f.u.) = 0.51
- symmetry = I-42d (122)

Structure (POSCAR):
```
InSeF2
1.0
4.057 0.000 0.000
0.000 4.057 0.000
0.000 0.000 16.005
In Se F
4 4 8
direct
0.000 0.000 0.000 In
0.000 0.500 0.250 In
0.500 0.000 0.750 In
0.500 0.500 0.500 In
0.000 0.000 0.500 Se
0.000 0.500 0.750 Se
0.500 0.000 0.250 Se
0.500 0.500 0.000 Se
0.212 0.250 0.125 F
0.250 0.712 0.375 F
0.250 0.788 0.875 F
0.288 0.250 0.625 F
0.712 0.750 0.625 F
0.750 0.212 0.875 F
0.750 0.288 0.375 F
0.788 0.750 0.125 F
```

--- c ---
The following is a GGA-PBE calculation of a relaxed InSeF2 crystal, from Alexandria.

## Properties
- spin magnetization (μB/f.u.) = 0.00
- symmetry = R-3m (166)

Structure (POSCAR):
```
InSeF2
1.0
3.203 0.000 0.000
-1.601 2.774 0.000
0.000 0.000 24.607
In Se F
3 3 6
direct
0.000 0.000 0.000 In
0.333 0.667 0.667 In
0.667 0.333 0.333 In
0.000 0.000 0.500 Se
0.333 0.667 0.167 Se
0.667 0.333 0.833 Se
0.000 0.000 0.419 F
0.000 0.000 0.581 F
0.333 0.667 0.086 F
0.333 0.667 0.247 F
0.667 0.333 0.753 F
0.667 0.333 0.914 F
```

--- d ---
The following is a GGA-PBE calculation of a relaxed InSeF2 crystal, from Alexandria.

## Properties
- spin magnetization (μB/f.u.) = 0.76
- symmetry = R-3m (166)

Structure (POSCAR):
```
InSeF2
1.0
3.029 0.000 0.000
-1.514 2.623 0.000
0.000 0.000 25.339
In Se F
3 3 6
direct
0.000 0.000 0.000 In
0.333 0.667 0.667 In
0.667 0.333 0.333 In
0.000 0.000 0.500 Se
0.333 0.667 0.167 Se
0.667 0.333 0.833 Se
0.000 0.000 0.084 F
0.000 0.000 0.916 F
0.333 0.667 0.582 F
0.333 0.667 0.751 F
0.667 0.333 0.249 F
0.667 0.333 0.418 F
```

Stability check: which of them is most stable? b.

--- a ---
The following is a GGA-PBE calculation of a relaxed InSe3F crystal, from Alexandria.

## Properties
- spin magnetization (μB/f.u.) = 0.21
- symmetry = Pm-3m (221)

Structure (POSCAR):
```
InSe3F
1.0
5.284 0.000 0.000
0.000 5.284 0.000
0.000 0.000 5.284
In Se F
1 3 1
direct
0.000 0.000 0.000 In
0.000 0.000 0.500 Se
0.000 0.500 0.000 Se
0.500 0.000 0.000 Se
0.500 0.500 0.500 F
```

--- b ---
The following is a GGA-PBE calculation of a relaxed InSe3F crystal, from Alexandria.

## Properties
- spin magnetization (μB/f.u.) = 0.00
- symmetry = Pm-3m (221)

Structure (POSCAR):
```
InSe3F
1.0
4.761 0.000 0.000
0.000 4.761 0.000
0.000 0.000 4.761
In Se F
1 3 1
direct
0.000 0.000 0.000 In
0.000 0.500 0.500 Se
0.500 0.000 0.500 Se
0.500 0.500 0.000 Se
0.500 0.500 0.500 F
```

Stability check: which of them is most stable? b.

--- a ---
The following is a GGA-PBE calculation of a relaxed InSe2F crystal, from Alexandria.

## Properties
- spin magnetization (μB/f.u.) = 0.00
- symmetry = Fm-3m (225)

Structure (POSCAR):
```
InSe2F
1.0
6.663 0.000 0.000
0.000 6.663 0.000
0.000 0.000 6.663
In Se F
4 8 4
direct
0.000 0.000 0.000 In
0.000 0.500 0.500 In
0.500 0.000 0.500 In
0.500 0.500 0.000 In
0.250 0.250 0.250 Se
0.250 0.250 0.750 Se
0.250 0.750 0.250 Se
0.250 0.750 0.750 Se
0.750 0.250 0.250 Se
0.750 0.250 0.750 Se
0.750 0.750 0.250 Se
0.750 0.750 0.750 Se
0.000 0.000 0.500 F
0.000 0.500 0.000 F
0.500 0.000 0.000 F
0.500 0.500 0.500 F
```

--- b ---
The following is a GGA-PBE calculation of a relaxed InSe2F crystal, from Alexandria.

## Properties
- spin magnetization (μB/f.u.) = 0.00
- symmetry = R-3m (166)

Structure (POSCAR):
```
InSe2F
1.0
3.018 0.000 0.000
-1.509 2.614 0.000
0.000 0.000 28.900
In Se F
3 6 3
direct
0.000 0.000 0.000 In
0.333 0.667 0.667 In
0.667 0.333 0.333 In
0.000 0.000 0.097 Se
0.000 0.000 0.903 Se
0.333 0.667 0.569 Se
0.333 0.667 0.764 Se
0.667 0.333 0.236 Se
0.667 0.333 0.431 Se
0.000 0.000 0.500 F
0.333 0.667 0.167 F
0.667 0.333 0.833 F
```

--- c ---
The following is a GGA-PBE calculation of a relaxed InSe2F crystal, from Alexandria.

## Properties
- spin magnetization (μB/f.u.) = 1.74
- symmetry = I-42d (122)

Structure (POSCAR):
```
InSe2F
1.0
6.082 0.000 0.000
0.000 6.082 0.000
0.000 0.000 11.867
In Se F
4 8 4
direct
0.000 0.000 0.000 In
0.000 0.500 0.250 In
0.500 0.000 0.750 In
0.500 0.500 0.500 In
0.237 0.250 0.625 Se
0.250 0.737 0.875 Se
0.250 0.763 0.375 Se
0.263 0.250 0.125 Se
0.737 0.750 0.125 Se
0.750 0.237 0.375 Se
0.750 0.263 0.875 Se
0.763 0.750 0.625 Se
0.000 0.000 0.500 F
0.000 0.500 0.750 F
0.500 0.000 0.250 F
0.500 0.500 0.000 F
```

Stability check: which of them is most stable? a.